Here is PmErBe2 after structural relaxation from Alexandria via LeMat-Bulk. Energies are from PBE.

Properties
Crystal system: cubic
Formation enthalpy at 0 K in meV per atom: 139
Space group: Fm-3m
Energy above the most stable polymorph in this dataset in kcal/mol of atoms: 0.20
Theoretical density in g/cm³: 6.75

The structure in CIF format:
```
data_PmErBe2
_chemical_formula_sum 'Pm1 Er1 Be2'
_cell_length_a 4.862
_cell_length_b 4.862
_cell_length_c 4.862
_cell_angle_alpha 60.00
_cell_angle_beta 60.00
_cell_angle_gamma 60.00
_symmetry_space_group_name_H-M 'P 1'
_symmetry_Int_Tables_number 1
loop_
_symmetry_equiv_pos_as_xyz
'x,y,z'
loop_
_atom_site_label
_atom_site_fract_x
_atom_site_fract_y
_atom_site_fract_z
Be1 0.250 0.250 0.250
Be2 0.750 0.750 0.750
Pm1 0.000 0.000 0.000
Er1 0.500 0.500 0.500
```

=====

Here is PmErBe2 after structural relaxation from Alexandria via LeMat-Bulk. Energies are from PBE.

Properties
Crystal system: tetragonal
Formation enthalpy at 0 K in meV per atom: 130
Space group: P4/mmm
Energy above the most stable polymorph in this dataset in kcal/mol of atoms: 0.00
Theoretical density in g/cm³: 6.76

The structure in CIF format:
```
data_PmErBe2
_chemical_formula_sum 'Pm1 Er1 Be2'
_cell_length_a 3.430
_cell_length_b 3.430
_cell_length_c 6.894
_cell_angle_alpha 90.00
_cell_angle_beta 90.00
_cell_angle_gamma 90.00
_symmetry_space_group_name_H-M 'P 1'
_symmetry_Int_Tables_number 1
loop_
_symmetry_equiv_pos_as_xyz
'x,y,z'
loop_
_atom_site_label
_atom_site_fract_x
_atom_site_fract_y
_atom_site_fract_z
Be1 0.000 0.000 0.777
Be2 0.000 0.000 0.223
Pm1 0.500 0.500 0.500
Er1 0.500 0.500 0.000
```

=====

Here is PmErBePt after structural relaxation from Alexandria via LeMat-Bulk. Energies are from PBE.

Properties
Crystal system: cubic
Formation enthalpy at 0 K in meV per atom: -491
Space group: F-43m
Theoretical density in g/cm³: 9.99

The structure in CIF format:
```
data_PmErBePt
_chemical_formula_sum 'Pm1 Er1 Be1 Pt1'
_cell_length_a 4.951
_cell_length_b 4.951
_cell_length_c 4.951
_cell_angle_alpha 60.00
_cell_angle_beta 60.00
_cell_angle_gamma 60.00
_symmetry_space_group_name_H-M 'P 1'
_symmetry_Int_Tables_number 1
loop_
_symmetry_equiv_pos_as_xyz
'x,y,z'
loop_
_atom_site_label
_atom_site_fract_x
_atom_site_fract_y
_atom_site_fract_z
Be1 0.250 0.250 0.250
Pm1 0.000 0.000 0.000
Pt1 0.750 0.750 0.750
Er1 0.500 0.500 0.500
```

=====

Here is PmErBeSi after structural relaxation from Alexandria via LeMat-Bulk. Energies are from PBE.

Properties
Crystal system: cubic
Raw formation energy in eV/atom: -0.208
Space group: F-43m
Theoretical density in g/cm³: 6.90

The structure in CIF format:
```
data_PmErBeSi
_chemical_formula_sum 'Pm1 Er1 Be1 Si1'
_cell_length_a 4.916
_cell_length_b 4.916
_cell_length_c 4.916
_cell_angle_alpha 60.00
_cell_angle_beta 60.00
_cell_angle_gamma 60.00
_symmetry_space_group_name_H-M 'P 1'
_symmetry_Int_Tables_number 1
loop_
_symmetry_equiv_pos_as_xyz
'x,y,z'
loop_
_atom_site_label
_atom_site_fract_x
_atom_site_fract_y
_atom_site_fract_z
Be1 0.750 0.750 0.750
Si1 0.250 0.250 0.250
Pm1 0.500 0.500 0.500
Er1 0.000 0.000 0.000
```

=====

Here is PmErBeZn after structural relaxation from Alexandria via LeMat-Bulk. Energies are from PBE.

Properties
Crystal system: cubic
Formation enthalpy at 0 K in meV per atom: -79
Space group: F-43m
Theoretical density in g/cm³: 7.32

The structure in CIF format:
```
data_PmErBeZn
_chemical_formula_sum 'Pm1 Er1 Be1 Zn1'
_cell_length_a 4.986
_cell_length_b 4.986
_cell_length_c 4.986
_cell_angle_alpha 60.00
_cell_angle_beta 60.00
_cell_angle_gamma 60.00
_symmetry_space_group_name_H-M 'P 1'
_symmetry_Int_Tables_number 1
loop_
_symmetry_equiv_pos_as_xyz
'x,y,z'
loop_
_atom_site_label
_atom_site_fract_x
_atom_site_fract_y
_atom_site_fract_z
Be1 0.500 0.500 0.500
Zn1 0.000 0.000 0.000
Pm1 0.750 0.750 0.750
Er1 0.250 0.250 0.250
```

=====

Here is PrErBe after structural relaxation from Alexandria via LeMat-Bulk. Energies are from PBE.

Properties
Crystal system: tetragonal
Formation enthalpy at 0 K in meV per atom: 126
Space group: I4mm
Theoretical density in g/cm³: 6.95

The structure in CIF format:
```
data_PrErBe
_chemical_formula_sum 'Pr1 Er1 Be1'
_cell_length_a 3.531
_cell_length_b 3.531
_cell_length_c 6.571
_cell_angle_alpha 105.59
_cell_angle_beta 105.59
_cell_angle_gamma 90.00
_symmetry_space_group_name_H-M 'P 1'
_symmetry_Int_Tables_number 1
loop_
_symmetry_equiv_pos_as_xyz
'x,y,z'
loop_
_atom_site_label
_atom_site_fract_x
_atom_site_fract_y
_atom_site_fract_z
Pr1 0.026 0.026 0.052
Be1 0.677 0.677 0.354
Er1 0.297 0.297 0.594
```

=====

Here is Pr2ErBe after structural relaxation from Alexandria via LeMat-Bulk. Energies are from PBE.

Properties
Crystal system: trigonal
Formation enthalpy at 0 K in meV per atom: 683
Space group: R-3m
Theoretical density in g/cm³: 6.14

The structure in CIF format:
```
data_Pr2ErBe
_chemical_formula_sum 'Pr2 Er1 Be1'
_cell_length_a 3.497
_cell_length_b 3.497
_cell_length_c 11.867
_cell_angle_alpha 81.53
_cell_angle_beta 81.53
_cell_angle_gamma 60.00
_symmetry_space_group_name_H-M 'P 1'
_symmetry_Int_Tables_number 1
loop_
_symmetry_equiv_pos_as_xyz
'x,y,z'
loop_
_atom_site_label
_atom_site_fract_x
_atom_site_fract_y
_atom_site_fract_z
Pr1 0.085 0.085 0.746
Pr2 0.915 0.915 0.254
Be1 0.000 0.000 0.000
Er1 0.500 0.500 0.500
```

=====

Here is ErBePt3 after structural relaxation from Alexandria via LeMat-Bulk. Energies are from PBE.

Properties
Crystal system: monoclinic
Formation enthalpy at 0 K in meV per atom: -971
Space group: P2_1/m
Energy above the most stable polymorph in this dataset in kcal/mol of atoms: 0.00
Theoretical density in g/cm³: 15.50

The structure in CIF format:
```
data_ErBePt3
_chemical_formula_sum 'Er2 Be2 Pt6'
_cell_length_a 6.040
_cell_length_b 5.338
_cell_length_c 5.712
_cell_angle_alpha 90.00
_cell_angle_beta 90.00
_cell_angle_gamma 62.41
_symmetry_space_group_name_H-M 'P 1'
_symmetry_Int_Tables_number 1
loop_
_symmetry_equiv_pos_as_xyz
'x,y,z'
loop_
_atom_site_label
_atom_site_fract_x
_atom_site_fract_y
_atom_site_fract_z
Er1 0.982 0.259 0.052
Er2 0.578 0.707 0.552
Be1 0.825 0.096 0.552
Be2 0.736 0.870 0.052
Pt1 0.107 0.243 0.552
Pt2 0.453 0.723 0.052
Pt3 0.508 0.237 0.808
Pt4 0.508 0.237 0.297
Pt5 0.053 0.729 0.308
Pt6 0.053 0.729 0.797
```

=====

Here is ErBePt2 after structural relaxation from Alexandria via LeMat-Bulk. Energies are from PBE.

Properties
Crystal system: trigonal
Formation enthalpy at 0 K in meV per atom: -907
Space group: R-3m
Energy above the most stable polymorph in this dataset in kcal/mol of atoms: 3.31
Theoretical density in g/cm³: 13.35

The structure in CIF format:
```
data_ErBePt2
_chemical_formula_sum 'Er1 Be1 Pt2'
_cell_length_a 4.077
_cell_length_b 4.077
_cell_length_c 5.432
_cell_angle_alpha 67.96
_cell_angle_beta 67.96
_cell_angle_gamma 60.00
_symmetry_space_group_name_H-M 'P 1'
_symmetry_Int_Tables_number 1
loop_
_symmetry_equiv_pos_as_xyz
'x,y,z'
loop_
_atom_site_label
_atom_site_fract_x
_atom_site_fract_y
_atom_site_fract_z
Be1 0.500 0.500 0.500
Pt1 0.787 0.787 0.640
Pt2 0.213 0.213 0.360
Er1 0.000 0.000 0.000
```

=====

Here is ErBe2Pt2 after structural relaxation from Alexandria via LeMat-Bulk. Energies are from PBE.

Properties
Crystal system: tetragonal
Formation enthalpy at 0 K in meV per atom: -930
Space group: P4/nmm
Theoretical density in g/cm³: 12.63

The structure in CIF format:
```
data_ErBe2Pt2
_chemical_formula_sum 'Er2 Be4 Pt4'
_cell_length_a 3.989
_cell_length_b 3.989
_cell_length_c 9.510
_cell_angle_alpha 90.00
_cell_angle_beta 90.00
_cell_angle_gamma 90.00
_symmetry_space_group_name_H-M 'P 1'
_symmetry_Int_Tables_number 1
loop_
_symmetry_equiv_pos_as_xyz
'x,y,z'
loop_
_atom_site_label
_atom_site_fract_x
_atom_site_fract_y
_atom_site_fract_z
Er1 0.500 0.000 0.249
Er2 0.000 0.500 0.751
Be1 0.000 0.500 0.373
Be2 0.500 0.000 0.627
Be3 0.500 0.500 0.000
Be4 0.000 0.000 0.000
Pt1 0.500 0.500 0.500
Pt2 0.000 0.000 0.500
Pt3 0.000 0.500 0.128
Pt4 0.500 0.000 0.872
```

=====

Here is Er3Be2Pt4 after structural relaxation from Alexandria via LeMat-Bulk. Energies are from PBE.

Properties
Crystal system: monoclinic
Formation enthalpy at 0 K in meV per atom: -1032
Space group: C2/m
Theoretical density in g/cm³: 13.15

The structure in CIF format:
```
data_Er3Be2Pt4
_chemical_formula_sum 'Er3 Be2 Pt4'
_cell_length_a 4.189
_cell_length_b 5.464
_cell_length_c 8.295
_cell_angle_alpha 71.08
_cell_angle_beta 75.37
_cell_angle_gamma 67.46
_symmetry_space_group_name_H-M 'P 1'
_symmetry_Int_Tables_number 1
loop_
_symmetry_equiv_pos_as_xyz
'x,y,z'
loop_
_atom_site_label
_atom_site_fract_x
_atom_site_fract_y
_atom_site_fract_z
Er1 0.366 0.576 0.693
Er2 0.000 0.000 0.000
Er3 0.634 0.424 0.307
Be1 0.334 0.999 0.333
Be2 0.666 0.001 0.667
Pt1 0.290 0.336 0.084
Pt2 0.710 0.664 0.916
Pt3 0.114 0.195 0.576
Pt4 0.886 0.805 0.424
```

=====

Here is Er2Be2Pt5 after structural relaxation from Alexandria via LeMat-Bulk. Energies are from PBE.

Properties
Crystal system: tetragonal
Formation enthalpy at 0 K in meV per atom: -1005
Space group: P4/mmm
Theoretical density in g/cm³: 15.17

The structure in CIF format:
```
data_Er2Be2Pt5
_chemical_formula_sum 'Er2 Be2 Pt5'
_cell_length_a 4.068
_cell_length_b 4.068
_cell_length_c 8.786
_cell_angle_alpha 90.00
_cell_angle_beta 90.00
_cell_angle_gamma 90.00
_symmetry_space_group_name_H-M 'P 1'
_symmetry_Int_Tables_number 1
loop_
_symmetry_equiv_pos_as_xyz
'x,y,z'
loop_
_atom_site_label
_atom_site_fract_x
_atom_site_fract_y
_atom_site_fract_z
Er1 0.000 0.000 0.000
Er2 0.000 0.000 0.500
Be1 0.500 0.500 0.137
Be2 0.500 0.500 0.863
Pt1 0.500 0.000 0.255
Pt2 0.500 0.000 0.745
Pt3 0.000 0.500 0.255
Pt4 0.000 0.500 0.745
Pt5 0.500 0.500 0.500
```